Below is crystalline La2PrSe4 at its relaxed geometry, with properties calculated at the PBE level.

Computed properties:
Its total energy is -6.023 eV per atom.

extended XYZ file:
```
14
Lattice="2.070 -0.599 8.298 -1.034 -7.413 4.152 6.921 -4.437 2.382" Properties=species:S:1:pos:R:3 pbc="T T T"
Pr -0.517 -3.706 2.076
Pr 0.518 -4.006 6.225
Se 1.454 -6.808 5.722
Se 1.965 -3.079 3.716
Se 3.025 -3.454 7.854
Se 5.991 -9.370 11.115
Se 6.502 -5.641 9.110
Se 4.931 -8.996 6.978
Se 2.520 -7.117 9.997
Se 5.436 -5.332 4.835
La 0.000 0.000 0.000
La 3.460 -2.219 1.191
La 2.943 -5.925 3.267
La 4.495 -2.518 5.340
```



Below is crystalline La5Pr3Se8 at its relaxed geometry, with properties calculated at the PBE level.

Computed properties:
Its total energy is -6.123 eV per atom.

extended XYZ file:
```
16
Lattice="-7.542 -3.713 1.802 -1.594 -2.857 7.951 -5.713 4.060 4.962" Properties=species:S:1:pos:R:3 pbc="T T T"
Se -6.563 1.398 6.154
Se -10.342 -0.462 7.057
Se -11.134 -1.891 11.034
Se -7.362 -0.033 10.138
Se -4.508 -2.047 7.657
Se -8.287 -3.908 8.560
Se -7.488 -2.476 4.577
Se -3.716 -0.618 3.681
La -4.568 -3.285 4.876
La -7.425 -1.255 7.357
La -3.771 -1.856 0.901
La -0.797 -1.428 3.975
La 0.000 0.000 0.000
Pr -6.628 0.174 3.382
Pr -2.857 2.030 2.481
Pr -3.654 0.602 6.456
```



Below is crystalline La3PrSe6 at its relaxed geometry, with properties calculated at the PBE level.

Computed properties:
As for the excess energy over the best structure of this formula in the dataset: 0 meV per atom. Its total energy is -6.020 eV per atom.

extended XYZ file:
```
20
Lattice="4.337 0.000 0.000 0.000 11.358 -3.816 0.000 0.132 12.367" Properties=species:S:1:pos:R:3 pbc="T T T"
Se 1.084 6.913 9.281
Se 3.253 1.309 5.286
Se 1.084 2.942 7.948
Se 3.253 4.578 -0.730
Se 1.084 2.156 2.355
Se 3.253 8.548 0.603
Se 3.253 5.513 5.749
Se 1.084 5.978 2.802
Se 3.253 10.421 -2.249
Se 3.253 9.334 6.196
Se 1.084 1.070 10.800
Se 1.084 10.181 3.265
La 1.084 6.508 -0.078
La 1.084 3.661 4.906
La 3.253 1.839 0.402
La 3.253 4.983 8.629
La 3.253 7.829 3.645
La 1.084 9.652 8.149
Pr 3.253 0.594 8.349
Pr 1.084 10.896 0.202
```



Below is crystalline La3Pr5Se8 at its relaxed geometry, with properties calculated at the PBE level.

Computed properties:
Its total energy is -6.065 eV per atom.

extended XYZ file:
```
16
Lattice="-8.278 0.675 2.127 -5.661 -5.734 -2.930 -3.524 -5.671 5.363" Properties=species:S:1:pos:R:3 pbc="T T T"
La -4.593 -5.703 1.216
La -5.901 -2.498 3.745
La -1.762 -2.835 2.681
Se -4.368 -2.676 1.132
Se -7.200 -5.544 -0.328
Se -10.263 -5.186 4.888
Se -6.131 -5.523 3.826
Se -11.332 -5.207 0.734
Se -8.957 -8.385 2.364
Se -13.096 -8.053 3.429
Se -8.507 -2.345 2.196
Pr -2.830 -2.867 -1.465
Pr -4.139 0.338 1.064
Pr 0.000 0.000 0.000
Pr -6.970 -2.530 -0.401
Pr -8.732 -5.365 2.280
```



Below is crystalline La4PrSe5 at its relaxed geometry, with properties calculated at the PBE level.

Computed properties:
Its total energy is -6.160 eV per atom.

extended XYZ file:
```
10
Lattice="-2.791 -3.198 -0.710 1.692 -2.635 5.218 -7.079 8.409 2.994" Properties=species:S:1:pos:R:3 pbc="T T T"
Se -5.269 3.085 6.815
Se -5.974 1.698 2.794
Se -2.204 0.878 4.707
Se -2.909 -0.509 0.686
Se 0.846 -1.318 2.609
La -3.049 2.195 2.097
La -2.069 -1.823 3.299
La -5.130 0.381 5.404
La -6.110 4.399 4.203
Pr 0.000 0.000 0.000
```



Below is crystalline La4PrSe5 at its relaxed geometry, with properties calculated at the PBE level.

Computed properties:
Its total energy is -6.160 eV per atom.

extended XYZ file:
```
10
Lattice="4.301 0.000 0.000 0.000 4.301 0.000 -2.151 -2.151 15.243" Properties=species:S:1:pos:R:3 pbc="T T T"
Se 2.151 2.151 12.199
Se 2.151 2.151 0.000
Se 0.000 0.000 9.171
Se 0.000 0.000 3.044
Se 2.151 2.151 6.072
La 0.000 0.000 6.124
La 2.151 2.151 3.021
La 2.151 2.151 9.120
La 0.000 0.000 12.222
Pr 0.000 0.000 0.000
```



Below is crystalline LaPr6Se8 at its relaxed geometry, with properties calculated at the PBE level.

Computed properties:
Its total energy is -5.985 eV per atom.

extended XYZ file:
```
15
Lattice="-5.039 -4.430 5.248 2.898 -7.105 3.698 1.600 -0.099 8.366" Properties=species:S:1:pos:R:3 pbc="T T T"
Pr 0.800 -0.049 4.183
Pr -2.520 -2.215 2.624
Pr 2.249 -3.602 6.032
Pr -1.071 -5.767 4.473
Pr -1.719 -2.264 6.807
Pr 1.449 -3.553 1.849
Se -2.623 -5.133 6.975
Se -0.406 -8.725 12.985
Se -0.135 -2.908 4.328
Se 0.652 -2.996 8.513
Se 1.292 -6.452 6.211
Se -1.833 -5.181 11.102
Se 2.082 -6.501 10.337
Se -1.193 -8.637 8.800
La 0.000 0.000 0.000
```



Below is crystalline La3PrSe6 at its relaxed geometry, with properties calculated at the PBE level.

Computed properties:
As for the excess energy over the best structure of this formula in the dataset: 129 meV per atom. Its total energy is -5.891 eV per atom.

extended XYZ file:
```
10
Lattice="-6.882 -2.998 -0.311 -2.093 -5.057 5.576 -5.227 2.155 5.393" Properties=species:S:1:pos:R:3 pbc="T T T"
La 0.000 0.000 0.000
La -3.914 -1.633 2.648
La -10.288 -4.267 8.009
Se -4.562 -4.018 4.410
Se -6.131 -0.407 4.318
Se -8.071 -5.493 6.339
Se -6.095 -2.441 8.176
Se -8.106 -3.459 2.481
Se -9.640 -1.882 6.247
Pr -7.101 -2.950 5.329
```



Below is crystalline La2Pr3Se4 at its relaxed geometry, with properties calculated at the PBE level.

Computed properties:
Its total energy is -5.880 eV per atom.

extended XYZ file:
```
9
Lattice="-1.858 -2.986 -2.375 1.480 -6.486 3.206 -7.745 -2.187 5.019" Properties=species:S:1:pos:R:3 pbc="T T T"
Se -7.257 -5.123 4.537
Se -4.431 -7.989 5.929
Se -3.692 -3.670 -0.079
Se -0.866 -6.536 1.313
La -2.668 -7.237 3.604
La -5.456 -4.422 2.247
Pr -6.799 -8.068 4.090
Pr 0.000 0.000 0.000
Pr -1.325 -3.591 1.760
```



Below is crystalline LaPrSe2 at its relaxed geometry, with properties calculated at the PBE level.

Computed properties:
As for the excess energy over the best structure of this formula in the dataset: 58 meV per atom. Its total energy is -6.041 eV per atom.

extended XYZ file:
```
4
Lattice="-1.058 0.195 4.051 2.432 -1.814 2.891 4.324 5.768 3.020" Properties=species:S:1:pos:R:3 pbc="T T T"
Se 1.405 1.006 2.487
Se 3.379 4.226 2.847
La 2.907 2.169 4.991
Pr 5.181 4.592 7.637
```



Below is crystalline LaPr4Se5 at its relaxed geometry, with properties calculated at the PBE level.

Computed properties:
Its total energy is -6.021 eV per atom.

extended XYZ file:
```
10
Lattice="4.198 0.000 -0.810 -0.311 5.812 -1.613 0.008 0.006 11.324" Properties=species:S:1:pos:R:3 pbc="T T T"
Se 2.492 0.587 1.633
Se 0.625 4.071 3.241
Se 1.402 5.231 7.268
Se -0.156 2.906 -0.807
Se 3.269 1.746 5.660
Pr 1.559 2.327 8.082
Pr 0.781 1.165 4.047
Pr 3.113 4.653 4.855
Pr 2.335 3.491 0.819
La 0.000 0.000 0.000
```



Below is crystalline LaPr4Se5 at its relaxed geometry, with properties calculated at the PBE level.

Computed properties:
Its total energy is -6.023 eV per atom.

extended XYZ file:
```
10
Lattice="-2.690 -2.846 1.704 -1.410 -1.005 -3.904 12.703 -8.797 0.012" Properties=species:S:1:pos:R:3 pbc="T T T"
Se 6.482 -10.514 -1.972
Se 2.120 -2.134 -0.217
Se 2.244 -6.248 -1.539
Se 6.358 -6.400 -0.650
Se -2.050 -1.925 -1.100
Pr 0.114 -4.104 -1.321
Pr 4.387 -8.405 -1.758
Pr 8.488 -8.544 -0.867
Pr 4.216 -4.243 -0.431
La 0.000 0.000 0.000
```



Below is crystalline LaPrSe2 at its relaxed geometry, with properties calculated at the PBE level.

Computed properties:
As for the excess energy over the best structure of this formula in the dataset: 14 meV per atom. Its total energy is -6.084 eV per atom.

extended XYZ file:
```
8
Lattice="4.240 0.000 0.000 -2.120 3.672 0.000 0.000 0.000 14.367" Properties=species:S:1:pos:R:3 pbc="T T T"
Se 2.120 1.224 8.967
Se 0.000 2.448 1.784
Se 2.120 1.224 12.583
Se 0.000 2.448 5.400
La 0.000 0.000 7.184
La 0.000 0.000 0.000
Pr 2.120 1.224 3.592
Pr 0.000 2.448 10.775
```



Below is crystalline LaPr2Se at its relaxed geometry, with properties calculated at the PBE level.

Computed properties:
As for the excess energy over the best structure of this formula in the dataset: 3 meV per atom. Its total energy is -5.296 eV per atom.

extended XYZ file:
```
4
Lattice="-0.215 -3.060 2.548 2.326 -0.065 3.238 -6.233 3.673 7.005" Properties=species:S:1:pos:R:3 pbc="T T T"
Pr -4.891 2.761 6.023
Pr -0.635 -0.132 2.908
Se -4.819 1.586 10.858
La -2.071 0.281 6.403
```



Below is crystalline LaPr2Se at its relaxed geometry, with properties calculated at the PBE level.

Computed properties:
As for the excess energy over the best structure of this formula in the dataset: 0 meV per atom. Its total energy is -5.299 eV per atom.

extended XYZ file:
```
4
Lattice="3.957 0.000 0.000 1.979 3.427 0.000 1.979 1.142 9.886" Properties=species:S:1:pos:R:3 pbc="T T T"
Pr 1.979 1.142 1.932
Pr 5.936 3.427 7.955
La 3.957 2.285 4.943
Se 0.000 0.000 0.000
```



Below is crystalline La2Pr2Se7 at its relaxed geometry, with properties calculated at the PBE level.

Computed properties:
Its total energy is -5.531 eV per atom.

extended XYZ file:
```
11
Lattice="-5.268 5.320 -0.688 -4.292 -4.462 -1.646 -1.654 -1.084 7.253" Properties=species:S:1:pos:R:3 pbc="T T T"
Se -7.219 3.606 2.510
Se -7.455 -1.714 5.693
Se -4.519 1.015 2.879
Se 0.000 0.000 0.000
Se -3.758 1.488 -0.774
Se -6.694 -1.242 2.041
Se -3.994 -3.833 2.410
La -8.607 -0.830 -0.240
La -2.606 0.604 5.160
Pr -4.027 -1.080 0.962
Pr -7.186 0.853 3.958
```



Below is crystalline La2PrSe at its relaxed geometry, with properties calculated at the PBE level.

Computed properties:
Its total energy is -5.383 eV per atom.

extended XYZ file:
```
4
Lattice="-2.393 1.559 -2.800 0.503 -0.996 -3.841 -6.883 -7.361 -1.075" Properties=species:S:1:pos:R:3 pbc="T T T"
Pr -4.389 -3.403 -3.857
La -1.867 -1.306 -1.988
La -5.646 -5.868 -1.300
Se -8.139 -6.981 -5.502
```



Below is crystalline La2PrSe4 at its relaxed geometry, with properties calculated at the PBE level.

Computed properties:
Its total energy is -6.023 eV per atom.

extended XYZ file:
```
14
Lattice="-2.535 3.281 -0.247 -4.368 -5.906 1.310 1.363 2.111 14.061" Properties=species:S:1:pos:R:3 pbc="T T T"
Se -3.878 0.072 5.826
Se -4.222 -0.462 2.272
Se -1.318 -0.052 12.851
Se -5.599 -0.828 11.549
Se 0.059 0.314 3.574
Se -1.268 1.641 -0.123
Se -0.586 2.696 6.907
Se -1.663 -0.585 9.297
La -4.656 -0.307 8.788
La -4.169 0.447 13.811
La -1.371 -0.961 1.313
La -0.884 -0.207 6.336
Pr -3.873 -2.661 4.402
Pr -1.667 2.147 10.721
```



Below is crystalline LaPr5Se6 at its relaxed geometry, with properties calculated at the PBE level.

Computed properties:
Its total energy is -6.020 eV per atom.

extended XYZ file:
```
12
Lattice="0.041 -1.648 -7.224 0.766 -5.364 5.054 -7.196 1.505 0.881" Properties=species:S:1:pos:R:3 pbc="T T T"
Pr -3.436 -1.518 -4.727
Pr 0.525 -4.128 0.973
Pr 0.282 -2.883 -3.142
Pr -3.195 -2.753 -0.644
Pr -2.954 -3.989 3.439
Se -4.908 -3.507 -3.013
Se -1.723 -0.760 -2.370
Se -1.196 -4.878 -1.406
Se -5.193 -0.628 0.117
Se -4.666 -4.746 1.081
Se -1.481 -1.999 1.724
La 0.000 0.000 0.000
```



Below is crystalline LaPrSe2 at its relaxed geometry, with properties calculated at the PBE level.

Computed properties:
As for the excess energy over the best structure of this formula in the dataset: 6 meV per atom. Its total energy is -6.093 eV per atom.

extended XYZ file:
```
8
Lattice="-3.595 3.888 -2.957 -4.074 -0.361 4.478 6.532 2.884 2.069" Properties=species:S:1:pos:R:3 pbc="T T T"
Se -2.035 -0.176 2.242
Se 0.658 4.462 5.066
Se 1.351 2.328 1.417
Se -2.488 4.082 2.172
Pr -0.688 2.143 3.654
Pr -3.835 1.763 0.760
La -0.449 4.267 -0.064
La 0.000 0.000 0.000
```



Below is crystalline LaPr3Se4 at its relaxed geometry, with properties calculated at the PBE level.

Computed properties:
As for the excess energy over the best structure of this formula in the dataset: 0 meV per atom. Its total energy is -6.039 eV per atom.

extended XYZ file:
```
16
Lattice="-4.915 1.864 5.260 -3.489 -0.530 -6.543 -1.530 -8.213 1.481" Properties=species:S:1:pos:R:3 pbc="T T T"
Se -3.909 -2.284 1.550
Se -6.024 -4.594 -1.351
Se -1.069 -1.163 -1.457
Se -5.261 -0.495 -2.084
Se -4.673 -6.383 2.283
Se -8.101 -1.619 0.910
Se -1.832 -5.260 -0.712
Se -8.865 -5.715 1.655
Pr -4.310 -6.977 -0.662
Pr -5.623 0.099 0.860
Pr -6.386 -3.994 1.598
Pr -2.184 -4.661 2.239
Pr -3.548 -2.884 -1.400
Pr -4.261 -1.687 4.501
La -5.024 -5.780 5.239
La -1.422 -0.568 1.502
```